[1]
Material: Ac3AlTl
Method: DFT, PBE
State: relaxed

## Properties
- Distance to the lowest polymorph of the same formula: 0.040 eV/atom
- E_form: -0.199 eV per atom

a b c (Å): 7.404 10.655 10.655
angles (deg): 57.90 90.00 90.00
Positions (direct):
Al  0.819  0.502  0.998
Ac  0.998  0.722  0.592
Ac  0.998  0.909  0.777
Ac  0.498  0.592  0.722
Al  0.681  0.002  0.498
Ac  0.498  0.777  0.909
Tl  0.750  0.500  0.500
Al  0.319  0.998  0.502
Tl  0.250  0.000  0.000
Ac  0.500  0.820  0.320
Ac  0.002  0.091  0.223
Ac  0.500  0.180  0.680
Ac  0.002  0.278  0.408
Ac  0.502  0.223  0.091
Tl  0.250  0.500  0.500
Tl  0.750  0.000  0.000
Al  0.181  0.498  0.002
Ac  0.000  0.680  0.180
Ac  0.000  0.320  0.820
Ac  0.502  0.408  0.278

[2]
Material: DyHgGe4
Method: DFT, PBE
State: relaxed

## Properties
- E_form: -0.149 eV per atom

a b c (Å): 5.622 5.622 5.622
angles (deg): 60.00 60.00 60.00
Positions (direct):
Ge  0.624  0.127  0.624
Ge  0.127  0.624  0.624
Hg  0.000  0.000  0.000
Ge  0.624  0.624  0.624
Ge  0.624  0.624  0.127
Dy  0.250  0.250  0.250

| no. | density of states at the Fermi level (states/eV per cell) |
| --- | --- |
| 1 | 17.02 |
| 2 | 1.96 |